# 1
Material: ErMg6In
Method: DFT, PBE-GGA
State: optimized geometry

Output
Space-group type: P-6m2 (187)
Calculated total energy: -16.673 eV per formula unit

a = 6.625 Å, b = 6.625 Å, c = 5.124 Å
α = 90.00°, β = 90.00°, γ = 120.00°
Fractional positions:
Mg 0.829 0.657 0.000
Er 0.333 0.667 0.000
Mg 0.996 0.498 0.500
Mg 0.343 0.171 0.000
Mg 0.502 0.004 0.500
Mg 0.829 0.171 0.000
Mg 0.502 0.498 0.500
In 0.000 0.000 0.500

=====

# 2
Material: KNbCd
Method: DFT, PBE-GGA
State: optimized geometry

Output
Space-group type: F-43m (216)
Excess energy over the best structure of this formula in the dataset: 0 meV/atom

a = 5.237 Å, b = 5.237 Å, c = 5.237 Å
α = 60.00°, β = 60.00°, γ = 60.00°
Fractional positions:
K 0.750 0.750 0.750
Nb 0.250 0.250 0.250
Cd 0.000 0.000 0.000